First-principles (PBE-GGA) data for crystalline Cr2Pd4Pt at its relaxed geometry, as listed in Alexandria.

a b c (Å): 6.543 6.543 6.543
angles (deg): 109.97 109.97 108.48
Fractional coordinates of all 14 atoms:
Cr 0.032 0.125 0.407
Cr 0.375 0.968 0.093
Cr 0.718 0.625 0.593
Cr 0.875 0.282 0.907
Pd 0.087 0.514 0.738
Pd 0.099 0.027 0.762
Pd 0.264 0.337 0.238
Pd 0.486 0.223 0.572
Pd 0.651 0.913 0.428
Pd 0.663 0.901 0.928
Pd 0.777 0.349 0.262
Pd 0.973 0.736 0.072
Pt 0.250 0.750 0.500
Pt 0.500 0.500 0.000

Calculated values
- ΔH_f (0 K) (eV per atom) = 0.432
- crystal system = tetragonal
- volume (Å³/cell) = 215.6
- E_tot (Ry/atom) = -0.4518

---

First-principles (PBE-GGA) data for crystalline Cr2PdPt7 at its relaxed geometry, as listed in Alexandria.

a b c (Å): 7.466 7.466 3.963
angles (deg): 90.00 90.00 122.76
Fractional coordinates of all 10 atoms:
Cr 0.192 0.808 0.000
Cr 0.808 0.192 0.000
Pd 0.500 0.500 0.500
Pt 0.000 0.000 0.000
Pt 0.197 0.418 0.000
Pt 0.296 0.704 0.500
Pt 0.418 0.197 0.000
Pt 0.582 0.803 0.000
Pt 0.704 0.296 0.500
Pt 0.803 0.582 0.000

Calculated values
- ΔH_f (0 K) (eV per atom) = 0.355
- crystal system = orthorhombic
- volume (Å³/cell) = 185.8
- E_tot (Ry/atom) = -0.4643

---

First-principles (PBE-GGA) data for crystalline CrPd3Pt at its relaxed geometry, as listed in Alexandria.

a b c (Å): 4.489 4.489 4.489
angles (deg): 90.00 90.00 90.00
Fractional coordinates of all 5 atoms:
Cr 0.000 0.000 0.000
Pd 0.000 0.000 0.500
Pd 0.000 0.500 0.000
Pd 0.500 0.000 0.000
Pt 0.500 0.500 0.500

Calculated values
- ΔH_f (0 K) (eV per atom) = 0.989
- crystal system = cubic
- volume (Å³/cell) = 90.4
- E_tot (Ry/atom) = -0.3866

---

First-principles (PBE-GGA) data for crystalline CrPdPt14 at its relaxed geometry, as listed in Alexandria.

a b c (Å): 5.632 5.632 7.796
angles (deg): 90.00 90.00 90.00
Fractional coordinates of all 16 atoms:
Cr 0.000 0.000 0.000
Pd 0.500 0.500 0.000
Pt 0.000 0.000 0.500
Pt 0.000 0.500 0.000
Pt 0.000 0.500 0.500
Pt 0.247 0.247 0.245
Pt 0.247 0.247 0.755
Pt 0.247 0.753 0.245
Pt 0.247 0.753 0.755
Pt 0.500 0.000 0.000
Pt 0.500 0.000 0.500
Pt 0.500 0.500 0.500
Pt 0.753 0.247 0.245
Pt 0.753 0.247 0.755
Pt 0.753 0.753 0.245
Pt 0.753 0.753 0.755

Calculated values
- ΔH_f (0 K) (eV per atom) = -0.080
- crystal system = tetragonal
- volume (Å³/cell) = 247.3
- E_tot (Ry/atom) = -0.4625

---

First-principles (PBE-GGA) data for crystalline Cr2PdPt8 at its relaxed geometry, as listed in Alexandria.

a b c (Å): 7.187 7.187 7.187
angles (deg): 147.84 118.02 71.56
Fractional coordinates of all 11 atoms:
Cr 0.185 0.185 0.000
Cr 0.815 0.815 0.000
Pd 0.500 0.500 0.000
Pt 0.068 0.339 0.729
Pt 0.197 0.000 0.197
Pt 0.341 0.841 0.500
Pt 0.389 0.661 0.729
Pt 0.611 0.339 0.271
Pt 0.659 0.159 0.500
Pt 0.803 0.000 0.803
Pt 0.932 0.661 0.271

Calculated values
- ΔH_f (0 K) (eV per atom) = -0.106
- crystal system = orthorhombic
- volume (Å³/cell) = 171.9
- E_tot (Ry/atom) = -0.4940

---

First-principles (PBE-GGA) data for crystalline Cr2Pd7Pt at its relaxed geometry, as listed in Alexandria.

a b c (Å): 8.524 8.524 2.738
angles (deg): 90.00 90.00 120.84
Fractional coordinates of all 10 atoms:
Cr 0.172 0.828 0.000
Cr 0.828 0.172 0.000
Pd 0.000 0.000 0.000
Pd 0.165 0.363 0.000
Pd 0.310 0.690 0.500
Pd 0.363 0.165 0.000
Pd 0.637 0.835 0.000
Pd 0.690 0.310 0.500
Pd 0.835 0.637 0.000
Pt 0.500 0.500 0.500

Calculated values
- ΔH_f (0 K) (eV per atom) = 0.331
- crystal system = orthorhombic
- volume (Å³/cell) = 170.8
- E_tot (Ry/atom) = -0.4287

---

First-principles (PBE-GGA) data for crystalline Cr2Pd4Pt3 at its relaxed geometry, as listed in Alexandria.

a b c (Å): 4.807 4.807 8.263
angles (deg): 106.97 106.97 48.53
Fractional coordinates of all 9 atoms:
Cr 0.166 0.166 0.223
Cr 0.834 0.834 0.777
Pd 0.166 0.166 0.892
Pd 0.498 0.498 0.332
Pd 0.502 0.502 0.668
Pd 0.834 0.834 0.108
Pt 0.169 0.169 0.555
Pt 0.500 0.500 0.000
Pt 0.831 0.831 0.445

Calculated values
- ΔH_f (0 K) (eV per atom) = -0.120
- crystal system = monoclinic
- volume (Å³/cell) = 135.6
- E_tot (Ry/atom) = -0.4836

---

First-principles (PBE-GGA) data for crystalline Cr2PdPt2 at its relaxed geometry, as listed in Alexandria.

a b c (Å): 7.341 7.341 2.701
angles (deg): 90.00 90.00 90.00
Fractional coordinates of all 10 atoms:
Cr 0.114 0.386 0.000
Cr 0.386 0.886 0.000
Cr 0.614 0.114 0.000
Cr 0.886 0.614 0.000
Pd 0.000 0.000 0.000
Pd 0.500 0.500 0.000
Pt 0.174 0.674 0.500
Pt 0.326 0.174 0.500
Pt 0.674 0.826 0.500
Pt 0.826 0.326 0.500

Calculated values
- ΔH_f (0 K) (eV per atom) = -0.001
- crystal system = tetragonal
- volume (Å³/cell) = 145.6
- E_tot (Ry/atom) = -0.5370

---

First-principles (PBE-GGA) data for crystalline CrPd2Pt5 at its relaxed geometry, as listed in Alexandria.

a b c (Å): 7.289 7.289 7.289
angles (deg): 124.24 124.24 82.81
Fractional coordinates of all 16 atoms:
Cr 0.250 0.250 0.000
Cr 0.750 0.750 0.000
Pd 0.145 0.645 0.790
Pd 0.355 0.145 0.500
Pd 0.645 0.855 0.500
Pd 0.855 0.355 0.210
Pt 0.000 0.000 0.000
Pt 0.016 0.818 0.500
Pt 0.182 0.682 0.198
Pt 0.318 0.516 0.500
Pt 0.484 0.984 0.802
Pt 0.500 0.500 0.000
Pt 0.516 0.016 0.198
Pt 0.682 0.484 0.500
Pt 0.818 0.318 0.802
Pt 0.984 0.182 0.500

Calculated values
- ΔH_f (0 K) (eV per atom) = 0.075
- crystal system = tetragonal
- volume (Å³/cell) = 254.1
- E_tot (Ry/atom) = -0.4558

---

First-principles (PBE-GGA) data for crystalline CrRe2PdPt at its relaxed geometry, as listed in Alexandria.

a b c (Å): 4.727 4.727 4.485
angles (deg): 90.00 90.00 90.00
Fractional coordinates of all 5 atoms:
Cr 0.000 0.000 0.000
Re 0.000 0.500 0.500
Re 0.500 0.000 0.500
Pd 0.500 0.500 0.000
Pt 0.000 0.000 0.500

Calculated values
- ΔH_f (0 K) (eV per atom) = 2.142
- crystal system = tetragonal
- volume (Å³/cell) = 100.2
- E_tot (Ry/atom) = -0.5151

---

First-principles (PBE-GGA) data for crystalline SrCr2PdPt at its relaxed geometry, as listed in Alexandria.

a b c (Å): 4.833 4.833 5.200
angles (deg): 90.00 90.00 90.00
Fractional coordinates of all 5 atoms:
Sr 0.000 0.000 0.000
Cr 0.000 0.500 0.500
Cr 0.500 0.000 0.500
Pd 0.500 0.500 0.500
Pt 0.500 0.500 0.000

Calculated values
- ΔH_f (0 K) (eV per atom) = 0.547
- crystal system = tetragonal
- volume (Å³/cell) = 121.5
- E_tot (Ry/atom) = -0.4325

---

First-principles (PBE-GGA) data for crystalline TaCrPd2Pt at its relaxed geometry, as listed in Alexandria.

a b c (Å): 4.563 4.563 4.374
angles (deg): 90.00 90.00 90.00
Fractional coordinates of all 5 atoms:
Ta 0.000 0.000 0.000
Cr 0.000 0.000 0.500
Pd 0.000 0.500 0.500
Pd 0.500 0.000 0.500
Pt 0.500 0.500 0.000

Calculated values
- ΔH_f (0 K) (eV per atom) = 0.992
- crystal system = tetragonal
- volume (Å³/cell) = 91.1
- E_tot (Ry/atom) = -0.4842

---

First-principles (PBE-GGA) data for crystalline TaCr2PdPt at its relaxed geometry, as listed in Alexandria.

a b c (Å): 4.412 4.412 4.817
angles (deg): 90.00 90.00 90.00
Fractional coordinates of all 5 atoms:
Ta 0.000 0.000 0.000
Cr 0.000 0.500 0.500
Cr 0.500 0.000 0.500
Pd 0.000 0.000 0.500
Pt 0.500 0.500 0.000

Calculated values
- ΔH_f (0 K) (eV per atom) = 1.591
- crystal system = tetragonal
- volume (Å³/cell) = 93.8
- E_tot (Ry/atom) = -0.5054

---

First-principles (PBE-GGA) data for crystalline CrTePdPt2 at its relaxed geometry, as listed in Alexandria.

a b c (Å): 4.952 4.952 4.551
angles (deg): 90.00 90.00 90.00
Fractional coordinates of all 5 atoms:
Cr 0.000 0.000 0.000
Te 0.500 0.500 0.000
Pd 0.000 0.000 0.500
Pt 0.000 0.500 0.500
Pt 0.500 0.000 0.500

Calculated values
- crystal system = tetragonal
- volume (Å³/cell) = 111.6
- formation energy without anion corrections (eV per formula unit) = 4.9
- E_tot (Ry/atom) = -0.3702

---

First-principles (PBE-GGA) data for crystalline TlCrPd2Pt at its relaxed geometry, as listed in Alexandria.

a b c (Å): 4.928 4.928 4.866
angles (deg): 90.00 90.00 90.00
Fractional coordinates of all 5 atoms:
Tl 0.000 0.000 0.000
Cr 0.000 0.000 0.500
Pd 0.000 0.500 0.000
Pd 0.500 0.000 0.000
Pt 0.500 0.500 0.500

Calculated values
- ΔH_f (0 K) (eV per atom) = 1.783
- crystal system = tetragonal
- volume (Å³/cell) = 118.2
- E_tot (Ry/atom) = -0.2867

---

First-principles (PBE-GGA) data for crystalline YCrPd2Pt at its relaxed geometry, as listed in Alexandria.

a b c (Å): 4.507 4.507 5.154
angles (deg): 90.00 90.00 90.00
Fractional coordinates of all 5 atoms:
Y 0.000 0.000 0.000
Cr 0.000 0.000 0.500
Pd 0.000 0.500 0.500
Pd 0.500 0.000 0.500
Pt 0.500 0.500 0.000

Calculated values
- ΔH_f (0 K) (eV per atom) = 0.594
- crystal system = tetragonal
- volume (Å³/cell) = 104.7
- E_tot (Ry/atom) = -0.4343

---

First-principles (PBE-GGA) data for crystalline ZnCrPdPt at its relaxed geometry, as listed in Alexandria.

a b c (Å): 4.372 4.372 4.372
angles (deg): 60.00 60.00 60.00
Fractional coordinates of all 4 atoms:
Zn 0.000 0.000 0.000
Cr 0.500 0.500 0.500
Pd 0.250 0.250 0.250
Pt 0.750 0.750 0.750

Calculated values
- ΔH_f (0 K) (eV per atom) = -0.280
- crystal system = cubic
- volume (Å³/cell) = 59.1
- E_tot (Ry/atom) = -0.4272

---

First-principles (PBE-GGA) data for crystalline Zr2CrPdPt at its relaxed geometry, as listed in Alexandria.

a b c (Å): 5.035 5.035 4.811
angles (deg): 90.00 90.00 90.00
Fractional coordinates of all 5 atoms:
Zr 0.000 0.500 0.000
Zr 0.500 0.000 0.000
Cr 0.000 0.000 0.500
Pd 0.500 0.500 0.500
Pt 0.000 0.000 0.000

Calculated values
- ΔH_f (0 K) (eV per atom) = 0.474
- crystal system = tetragonal
- volume (Å³/cell) = 121.9
- E_tot (Ry/atom) = -0.5231

---

First-principles (PBE-GGA) data for crystalline Pu2CrPd at its relaxed geometry, as listed in Alexandria.

a b c (Å): 5.130 5.130 3.095
angles (deg): 90.00 90.00 90.00
Fractional coordinates of all 4 atoms:
Pu 0.000 0.500 0.000
Pu 0.500 0.000 0.000
Cr 0.000 0.000 0.500
Pd 0.500 0.500 0.500

Calculated values
- ΔH_f (0 K) (eV per atom) = 0.006
- crystal system = tetragonal
- volume (Å³/cell) = 81.4
- E_tot (Ry/atom) = -0.7985

---

First-principles (PBE-GGA) data for crystalline Pu2CrPd9 at its relaxed geometry, as listed in Alexandria.

a b c (Å): 4.088 4.088 12.108
angles (deg): 90.00 90.00 90.00
Fractional coordinates of all 12 atoms:
Pu 0.000 0.000 0.175
Pu 0.000 0.000 0.825
Cr 0.000 0.000 0.500
Pd 0.000 0.500 0.000
Pd 0.000 0.500 0.345
Pd 0.000 0.500 0.655
Pd 0.500 0.000 0.000
Pd 0.500 0.000 0.345
Pd 0.500 0.000 0.655
Pd 0.500 0.500 0.172
Pd 0.500 0.500 0.500
Pd 0.500 0.500 0.828

Calculated values
- ΔH_f (0 K) (eV per atom) = -0.385
- crystal system = tetragonal
- volume (Å³/cell) = 202.3
- E_tot (Ry/atom) = -0.5490